[1]
A plane-wave DFT calculation with PBE was carried out for a relaxed structure of Er3Sn2Ru2.

calculated formation energy	-0.592	eV/atom
total magnetization	0.00	μB/atom
SG	Pbcm (57)

Lattice parameters (Å, degrees): 5.8196 7.8504 13.9173 90.00 90.00 90.00
Last column: nearest neighbours and their distance in Å.
Atoms (fractional coordinates):
Er 0.3931 0.2390 0.2500  4 Ru 3.05-3.14, 3 Sn 3.13-3.20
Ru 0.6308 0.0503 0.5950  3 Sn 2.69-2.72, 3 Er 2.85-2.94
Ru 0.6308 0.0503 0.9050  3 Sn 2.69-2.72, 3 Er 2.85-2.94
Er 0.6069 0.7610 0.7500  4 Ru 3.05-3.14, 3 Sn 3.13-3.20
Er 0.8260 0.3962 0.5908  3 Ru 2.85-2.94, 2 Sn 3.17
Er 0.8260 0.3962 0.9092  3 Ru 2.85-2.94, 2 Sn 3.17
Er 0.3931 0.2610 0.7500  4 Ru 3.05-3.14, 3 Sn 3.13-3.20
Ru 0.3692 0.5503 0.5950  3 Sn 2.69-2.72, 3 Er 2.85-2.94
Er 0.6069 0.7390 0.2500  4 Ru 3.05-3.14, 3 Sn 3.13-3.20
Ru 0.6308 0.4497 0.4050  3 Sn 2.69-2.72, 3 Er 2.85-2.94
Sn 0.6761 0.7500 0.5000  4 Ru 2.72
Er 0.1740 0.6038 0.4092  3 Ru 2.85-2.94, 2 Sn 3.17
Sn 0.1006 0.8982 0.2500  2 Ru 2.69
Er 0.1740 0.8962 0.5908  3 Ru 2.85-2.94, 2 Sn 3.17
Ru 0.3692 0.9497 0.4050  3 Sn 2.69-2.72, 3 Er 2.85-2.94
Er 0.8260 0.1038 0.0908  3 Ru 2.85-2.94, 2 Sn 3.17
Er 0.1740 0.8962 0.9092  3 Ru 2.85-2.94, 2 Sn 3.17
Ru 0.3692 0.5503 0.9050  3 Sn 2.69-2.72, 3 Er 2.85-2.94
Sn 0.8994 0.3982 0.2500  2 Ru 2.69
Sn 0.3239 0.2500 0.0000  4 Ru 2.72
Sn 0.3239 0.2500 0.5000  4 Ru 2.72
Sn 0.6761 0.7500 0.0000  4 Ru 2.72
Sn 0.1006 0.6018 0.7500  2 Ru 2.69
Er 0.1740 0.6038 0.0908  3 Ru 2.85-2.94, 2 Sn 3.17
Ru 0.6308 0.4497 0.0950  3 Sn 2.69-2.72, 3 Er 2.85-2.94
Ru 0.3692 0.9497 0.0950  3 Sn 2.69-2.72, 3 Er 2.85-2.94
Sn 0.8994 0.1018 0.7500  2 Ru 2.69
Er 0.8260 0.1038 0.4092  3 Ru 2.85-2.94, 2 Sn 3.17

=====

[2]
A plane-wave DFT calculation with PBE was carried out for a relaxed structure of Er12SnRu6.

calculated formation energy	-0.357	eV/atom
total magnetization	0.01	μB/atom
SG	Im-3 (204)

Lattice parameters (Å, degrees): 8.4406 8.4406 8.4406 109.47 109.47 109.47
Last column: nearest neighbours and their distance in Å.
Atoms (fractional coordinates):
Er 0.1938 0.2953 0.4892  1 Ru 2.66
Er 0.4892 0.1938 0.2953  1 Ru 2.66
Ru 0.5000 0.8748 0.3748  1 Ru 2.44, 2 Er 2.66
Er 0.1015 0.8062 0.2953  1 Ru 2.66
Er 0.1938 0.7047 0.8985  1 Ru 2.66
Er 0.8985 0.1938 0.7047  1 Ru 2.66
Ru 0.8748 0.3748 0.5000  1 Ru 2.44, 2 Er 2.66
Er 0.2953 0.1015 0.8062  1 Ru 2.66
Ru 0.6252 0.5000 0.1252  1 Ru 2.44, 2 Er 2.66
Er 0.8062 0.7047 0.5108  1 Ru 2.66
Er 0.8062 0.2953 0.1015  1 Ru 2.66
Ru 0.1252 0.6252 0.5000  1 Ru 2.44, 2 Er 2.66
Ru 0.5000 0.1252 0.6252  1 Ru 2.44, 2 Er 2.66
Sn 0.0000 0.0000 0.0000  12 Er 3.44
Er 0.7047 0.8985 0.1938  1 Ru 2.66
Ru 0.3748 0.5000 0.8748  1 Ru 2.44, 2 Er 2.66
Er 0.2953 0.4892 0.1938  1 Ru 2.66
Er 0.7047 0.5108 0.8062  1 Ru 2.66
Er 0.5108 0.8062 0.7047  1 Ru 2.66

=====

[3]
A plane-wave DFT calculation with PBE was carried out for a relaxed structure of ErSn3Ru.

calculated formation energy	-0.143	eV/atom
total magnetization	0.00	μB/atom
SG	R3c (161)

Lattice parameters (Å, degrees): 7.0589 7.0589 7.0589 61.16 61.16 61.16
Last column: nearest neighbours and their distance in Å.
Atoms (fractional coordinates):
Sn 0.4332 0.5332 0.8904  2 Ru 2.57-2.81
Ru 0.2480 0.2480 0.2480  6 Sn 2.57-2.81, 1 Er 2.83
Sn 0.5332 0.8904 0.4332  2 Ru 2.57-2.81
Sn 0.0332 0.9332 0.3904  2 Ru 2.57-2.81
Er 0.9135 0.9135 0.9135  1 Ru 2.83
Sn 0.9332 0.3904 0.0332  2 Ru 2.57-2.81
Sn 0.3904 0.0332 0.9332  2 Ru 2.57-2.81
Sn 0.8904 0.4332 0.5332  2 Ru 2.57-2.81
Er 0.4135 0.4135 0.4135  1 Ru 2.83
Ru 0.7480 0.7480 0.7480  6 Sn 2.57-2.81, 1 Er 2.83

=====

[4]
A plane-wave DFT calculation with PBE was carried out for a relaxed structure of Er3SnRu2.

distance to the lowest polymorph of the same formula	0	meV per atom
calculated formation energy	-0.521	eV/atom
total magnetization	0.00	μB/atom
SG	P4/mmm (123)

Lattice parameters (Å, degrees): 3.4284 3.4284 10.9971 90.00 90.00 90.00
Last column: nearest neighbours and their distance in Å.
Atoms (fractional coordinates):
Sn 0.5000 0.5000 0.5000  8 Er 3.29, 4 Sn 3.43
Ru 0.5000 0.5000 0.1560  8 Er 2.89-2.97
Ru 0.5000 0.5000 0.8440  8 Er 2.89-2.97
Er 0.0000 0.0000 0.2983  4 Ru 2.89
Er 0.0000 0.0000 0.0000  8 Ru 2.97, 2 Er 3.28
Er 0.0000 0.0000 0.7017  4 Ru 2.89

=====

[5]
A plane-wave DFT calculation with PBE was carried out for a relaxed structure of Er3SnRu2.

distance to the lowest polymorph of the same formula	229	meV per atom
calculated formation energy	-0.291	eV/atom
total magnetization	0.00	μB/atom
SG	Ibam (72)

Lattice parameters (Å, degrees): 6.4754 7.0236 8.0957 115.71 113.57 90.00
Last column: nearest neighbours and their distance in Å.
Atoms (fractional coordinates):
Ru 0.1535 0.8642 0.7284  1 Sn 2.58, 4 Er 2.80-2.85
Ru 0.5749 0.3642 0.7284  1 Sn 2.58, 4 Er 2.80-2.85
Sn 0.0000 0.0000 0.0000  2 Ru 2.58
Er 0.7790 0.0290 0.5579  4 Ru 2.80-2.91
Sn 0.0000 0.5000 0.0000  2 Ru 2.58
Ru 0.8465 0.1358 0.2716  1 Sn 2.58, 4 Er 2.80-2.85
Er 0.2210 0.9710 0.4420  4 Ru 2.80-2.91
Er 0.7790 0.5290 0.5579  4 Ru 2.80-2.91
Ru 0.4251 0.6358 0.2716  1 Sn 2.58, 4 Er 2.80-2.85
Er 0.5000 0.7500 0.0000  4 Ru 2.85
Er 0.5000 0.2500 0.0000  4 Ru 2.85
Er 0.2210 0.4710 0.4420  4 Ru 2.80-2.91

=====

[6]
A plane-wave DFT calculation with PBE was carried out for a relaxed structure of ErSnRu.

calculated formation energy	-0.408	eV/atom
total magnetization	0.00	μB/atom
SG	P-6m2 (187)

Lattice parameters (Å, degrees): 3.4497 4.6250 4.6250 120.00 90.00 90.00
Last column: nearest neighbours and their distance in Å.
Atoms (fractional coordinates):
Er 0.6665 0.3333 0.6667  6 Ru 3.18, 6 Sn 3.18, 2 Er 3.45
Ru 0.1668 0.0000 0.0000  3 Sn 2.67
Sn 0.1667 0.6667 0.3333  3 Ru 2.67

=====

[7]
A plane-wave DFT calculation with PBE was carried out for a relaxed structure of ErSnRu2.

calculated formation energy	-0.326	eV/atom
total magnetization	0.00	μB/atom
SG	P4/mmm (123)

Lattice parameters (Å, degrees): 3.3202 3.3202 6.5292 90.00 90.00 90.00
Last column: nearest neighbours and their distance in Å.
Atoms (fractional coordinates):
Sn 0.5000 0.5000 0.0000  8 Ru 2.79
Ru 0.0000 0.0000 0.2309  4 Sn 2.79, 4 Er 2.93, 1 Ru 3.01
Er 0.5000 0.5000 0.5000  8 Ru 2.93, 2 Sn 3.26
Ru 0.0000 0.0000 0.7691  4 Sn 2.79, 4 Er 2.93, 1 Ru 3.01

=====

[8]
A plane-wave DFT calculation with PBE was carried out for a relaxed structure of ErSnRu2.

calculated formation energy	-0.392	eV/atom
total magnetization	0.00	μB/atom
SG	Fm-3m (225)

Lattice parameters (Å, degrees): 4.6493 4.6493 4.6493 60.00 60.00 60.00
Last column: nearest neighbours and their distance in Å.
Atoms (fractional coordinates):
Er 0.7500 0.7500 0.7500  8 Ru 2.85
Sn 0.2500 0.2500 0.2500  8 Ru 2.85
Ru 0.0000 0.0000 0.0000  4 Er 2.85, 4 Sn 2.85
Ru 0.5000 0.5000 0.5000  4 Er 2.85, 4 Sn 2.85